(1)
First-principles (GGA+U) data for a relaxed PrCr2PbO8 crystal, as listed in Alexandria.

Results
**Spin magnetization**: 1.0 μB/cell
**Electronic total energy**: -6.928 eV per atom

Geometry as CIF:
```
data_PrCr2PbO8
_chemical_formula_sum 'Pr1 Cr2 Pb1 O8'
_symmetry_space_group_name_H-M 'P -3 m 1'
_symmetry_Int_Tables_number 164
_symmetry_space_group_name_Hall '-P 3 2"'
_cell_length_a 5.8153
_cell_length_b 5.8153
_cell_length_c 7.3161
_cell_angle_alpha 90.00
_cell_angle_beta 90.00
_cell_angle_gamma 120.00
loop_
_atom_site_label
_atom_site_type_symbol
_atom_site_fract_x
_atom_site_fract_y
_atom_site_fract_z
Pr1 Pr 0.0000 0.0000 0.0000
Cr1 Cr 0.3333 0.6667 0.2980
Pb1 Pb 0.0000 0.0000 0.5000
O1 O 0.1718 0.3436 0.2235
O2 O 0.3333 0.6667 0.5215
```


(2)
First-principles (GGA+U) data for a relaxed CrPtPbO6 crystal, as listed in Alexandria.

Results
**Spin magnetization**: 4.1 μB/cell
**Electronic total energy**: -6.181 eV per atom

Geometry as CIF:
```
data_CrPtPbO6
_chemical_formula_sum 'Cr2 Pt2 Pb2 O12'
_symmetry_space_group_name_H-M 'P -3 1 c'
_symmetry_Int_Tables_number 163
_symmetry_space_group_name_Hall '-P 3 2c'
_cell_length_a 5.2166
_cell_length_b 5.2166
_cell_length_c 9.3699
_cell_angle_alpha 90.00
_cell_angle_beta 90.00
_cell_angle_gamma 120.00
loop_
_atom_site_label
_atom_site_type_symbol
_atom_site_fract_x
_atom_site_fract_y
_atom_site_fract_z
Cr1 Cr 0.3333 0.6667 0.2500
Pt1 Pt 0.3333 0.6667 0.7500
Pb1 Pb 0.0000 0.0000 0.0000
O1 O 0.0017 0.3638 0.1336
```


(3)
First-principles (GGA+U) data for a relaxed PuCr2PbO8 crystal, as listed in Alexandria.

Results
**Spin magnetization**: 6.0 μB/cell
**Electronic total energy**: -7.733 eV per atom

Geometry as CIF:
```
data_PuCr2PbO8
_chemical_formula_sum 'Pu1 Cr2 Pb1 O8'
_symmetry_space_group_name_H-M 'P -3 m 1'
_symmetry_Int_Tables_number 164
_symmetry_space_group_name_Hall '-P 3 2"'
_cell_length_a 5.7647
_cell_length_b 5.7647
_cell_length_c 7.0248
_cell_angle_alpha 90.00
_cell_angle_beta 90.00
_cell_angle_gamma 120.00
loop_
_atom_site_label
_atom_site_type_symbol
_atom_site_fract_x
_atom_site_fract_y
_atom_site_fract_z
Pu1 Pu 0.0000 0.0000 0.0000
Cr1 Cr 0.3333 0.6667 0.7198
Pb1 Pb 0.0000 0.0000 0.5000
O1 O 0.1636 0.3272 0.8043
O2 O 0.3333 0.6667 0.4851
```


(4)
First-principles (GGA+U) data for a relaxed RbCr2Pb2O7 crystal, as listed in Alexandria.

Results
**Spin magnetization**: 9.0 μB/cell
**Electronic total energy**: -6.199 eV per atom

Geometry as CIF:
```
data_RbCr2Pb2O7
_chemical_formula_sum 'Rb3 Cr6 Pb6 O21'
_symmetry_space_group_name_H-M 'R 3 2'
_symmetry_Int_Tables_number 155
_symmetry_space_group_name_Hall 'R 3 2"'
_cell_length_a 5.8749
_cell_length_b 5.8749
_cell_length_c 25.0289
_cell_angle_alpha 90.00
_cell_angle_beta 90.00
_cell_angle_gamma 120.00
loop_
_atom_site_label
_atom_site_type_symbol
_atom_site_fract_x
_atom_site_fract_y
_atom_site_fract_z
Rb1 Rb 0.0000 0.0000 0.0000
Cr1 Cr 0.0000 0.0000 0.4273
Pb1 Pb 0.0000 0.0000 0.2092
O1 O 0.0000 0.0000 0.5000
O2 O 0.0193 0.4222 0.0744
```


(5)
First-principles (GGA+U) data for a relaxed Rb2CrPbO crystal, as listed in Alexandria.

Results
**Spin magnetization**: 4.6 μB/cell
**Electronic total energy**: -3.935 eV per atom

Geometry as CIF:
```
data_Rb2CrPbO
_chemical_formula_sum 'Rb2 Cr1 Pb1 O1'
_symmetry_space_group_name_H-M 'P 4/m m m'
_symmetry_Int_Tables_number 123
_symmetry_space_group_name_Hall '-P 4 2'
_cell_length_a 7.161
_cell_length_b 7.161
_cell_length_c 3.726
_cell_angle_alpha 90.00
_cell_angle_beta 90.00
_cell_angle_gamma 90.00
loop_
_atom_site_label
_atom_site_type_symbol
_atom_site_fract_x
_atom_site_fract_y
_atom_site_fract_z
Rb1 Rb 0.000 0.500 0.000
Cr1 Cr 0.000 0.000 0.000
Pb1 Pb 0.500 0.500 0.500
O1 O 0.000 0.000 0.500
```


(6)
First-principles (GGA+U) data for a relaxed Rb3Cr2PbO8 crystal, as listed in Alexandria.

Results
**Spin magnetization**: 1.0 μB/cell
**Electronic total energy**: -5.896 eV per atom

Geometry as CIF:
```
data_Rb3Cr2PbO8
_chemical_formula_sum 'Rb3 Cr2 Pb1 O8'
_symmetry_space_group_name_H-M 'P -3 m 1'
_symmetry_Int_Tables_number 164
_symmetry_space_group_name_Hall '-P 3 2"'
_cell_length_a 6.1950
_cell_length_b 6.1950
_cell_length_c 8.0773
_cell_angle_alpha 90.00
_cell_angle_beta 90.00
_cell_angle_gamma 120.00
loop_
_atom_site_label
_atom_site_type_symbol
_atom_site_fract_x
_atom_site_fract_y
_atom_site_fract_z
Rb1 Rb 0.0000 0.0000 0.0000
Rb2 Rb 0.3333 0.6667 0.6858
Cr1 Cr 0.3333 0.6667 0.2336
Pb1 Pb 0.0000 0.0000 0.5000
O1 O 0.1831 0.3663 0.3068
O2 O 0.3333 0.6667 0.0290
```


(7)
First-principles (GGA+U) data for a relaxed RbCr2PbO crystal, as listed in Alexandria.

Results
**Spin magnetization**: 10.4 μB/cell
**Electronic total energy**: -3.895 eV per atom

Geometry as CIF:
```
data_RbCr2PbO
_chemical_formula_sum 'Rb1 Cr2 Pb1 O1'
_symmetry_space_group_name_H-M 'P 4/m m m'
_symmetry_Int_Tables_number 123
_symmetry_space_group_name_Hall '-P 4 2'
_cell_length_a 5.925
_cell_length_b 5.925
_cell_length_c 4.413
_cell_angle_alpha 90.00
_cell_angle_beta 90.00
_cell_angle_gamma 90.00
loop_
_atom_site_label
_atom_site_type_symbol
_atom_site_fract_x
_atom_site_fract_y
_atom_site_fract_z
Rb1 Rb 0.000 0.000 0.000
Cr1 Cr 0.000 0.500 0.000
Pb1 Pb 0.500 0.500 0.500
O1 O 0.000 0.000 0.500
```


(8)
First-principles (GGA+U) data for a relaxed RbCrPb2O4 crystal, as listed in Alexandria.

Results
**Spin magnetization**: 12.0 μB/cell
**Electronic total energy**: -5.654 eV per atom

Geometry as CIF:
```
data_RbCrPb2O4
_chemical_formula_sum 'Rb4 Cr4 Pb8 O16'
_symmetry_space_group_name_H-M 'F m m 2'
_symmetry_Int_Tables_number 42
_symmetry_space_group_name_Hall 'F 2 -2'
_cell_length_a 8.051
_cell_length_b 8.070
_cell_length_c 10.121
_cell_angle_alpha 90.00
_cell_angle_beta 90.00
_cell_angle_gamma 90.00
loop_
_atom_site_label
_atom_site_type_symbol
_atom_site_fract_x
_atom_site_fract_y
_atom_site_fract_z
Rb1 Rb 0.000 0.000 0.000
Cr1 Cr 0.000 0.000 0.499
Pb1 Pb 0.250 0.250 0.250
O1 O 0.000 0.181 0.624
O2 O 0.181 0.000 0.374
```


- What is the electronic total energy in the third record?
  -7.733 eV per atom


- Which of these has the highest spin magnetization?
  RbCrPb2O4